Entry 1:
K2RuSe after structural relaxation. Source: Alexandria, functional PBE.

The structure belongs to space group Imm2 (No. 44); the cell edges are 4.5865, 5.9054 and 9.8214 Å and the angles 90.00°, 90.00° and 90.00°. Symmetry generates all atoms from K at (0.0000, 0.0000, 0.0000), K at (0.0000, 0.5000, 0.1842), Ru at (0.0000, 0.5000, 0.8337) and Se at (0.0000, 0.0000, 0.3500).


Entry 2:
K2RuSe after structural relaxation. Source: Alexandria, functional PBE.

The structure belongs to space group Amm2 (No. 38); the cell edges are 4.1964, 5.3949 and 11.3970 Å and the angles 90.00°, 90.00° and 90.00°. Symmetry generates all atoms from K at (0.0000, 0.0000, 0.0000), K at (0.5000, 0.0000, 0.2933), Ru at (0.0000, 0.0000, 0.6861) and Se at (0.5000, 0.0000, 0.5972).


Entry 3:
K2RuSe after structural relaxation. Source: Alexandria, functional PBE.

The structure belongs to space group P4mm (No. 99); the cell edges are 3.4250, 3.4250 and 10.0118 Å and the angles 90.00°, 90.00° and 90.00°. Symmetry generates all atoms from K at (0.0000, 0.0000, 0.0000), K at (0.5000, 0.5000, 0.4190), Ru at (0.0000, 0.0000, 0.6717) and Se at (0.5000, 0.5000, 0.7562).


Entry 4:
K2RuSe after structural relaxation. Source: Alexandria, functional PBE.

The structure belongs to space group Cm (No. 8); the cell edges are 7.2744, 4.1958 and 9.5996 Å and the angles 90.00°, 102.77° and 90.00°. Symmetry generates all atoms from K at (0.0000, 0.0000, 0.0000), K at (0.1513, 0.0000, 0.5202), Ru at (0.2421, 0.5000, 0.2601) and Se at (0.4089, 0.0000, 0.2602).


Entry 5:
K2RuSe after structural relaxation. Source: Alexandria, functional PBE.

The structure belongs to space group I4/mmm (No. 139); the cell edges are 4.2731, 4.2731 and 10.3108 Å and the angles 90.00°, 90.00° and 90.00°. Symmetry generates all atoms from K at (0.0000, 0.5000, 0.2500), Ru at (0.0000, 0.0000, 0.0000) and Se at (0.0000, 0.0000, 0.5000).


Entry 6:
K2RuSe after structural relaxation. Source: Alexandria, functional PBE.

The structure belongs to space group I-42d (No. 122); the cell edges are 4.2101, 4.2101 and 22.2141 Å and the angles 90.00°, 90.00° and 90.00°. Symmetry generates all atoms from K at (0.2464, 0.2500, 0.1250), Ru at (0.0000, 0.0000, 0.5000) and Se at (0.0000, 0.0000, 0.0000).


Entry 7:
KTc2RuSe after structural relaxation. Source: Alexandria, functional PBE.

The structure belongs to space group P4/mmm (No. 123); the cell edges are 4.6707, 4.6707 and 5.9000 Å and the angles 90.00°, 90.00° and 90.00°. Symmetry generates all atoms from K at (0.0000, 0.0000, 0.0000), Tc at (0.0000, 0.5000, 0.5000), Ru at (0.0000, 0.0000, 0.5000) and Se at (0.5000, 0.5000, 0.0000).


Entry 8:
KVRuSe2 after structural relaxation. Source: Alexandria, functional PBE.

The structure belongs to space group P4/mmm (No. 123); the cell edges are 4.8051, 4.8051 and 5.3984 Å and the angles 90.00°, 90.00° and 90.00°. Symmetry generates all atoms from K at (0.0000, 0.0000, 0.0000), V at (0.0000, 0.0000, 0.5000), Ru at (0.5000, 0.5000, 0.0000) and Se at (0.0000, 0.5000, 0.5000).


Entry 9:
KSiRu2 after structural relaxation. Source: Alexandria, functional PBE.

The structure belongs to space group Immm (No. 71); the cell edges are 2.8077, 5.3005 and 9.4370 Å and the angles 90.00°, 90.00° and 90.00°. Symmetry generates all atoms from K at (0.0000, 0.0000, 0.0000), Si at (0.0000, 0.0000, 0.5000) and Ru at (0.0000, 0.5000, 0.2027).


Entry 10:
KSi2Ru2 after structural relaxation. Source: Alexandria, functional PBE.

The structure belongs to space group P4/mbm (No. 127); the cell edges are 7.5165, 7.5165 and 2.7945 Å and the angles 90.00°, 90.00° and 90.00°. Symmetry generates all atoms from K at (0.0000, 0.0000, 0.0000), Si at (0.1399, 0.3601, 0.5000) and Ru at (0.1404, 0.6404, 0.0000).


Entry 11:
KSi2Ru after structural relaxation. Source: Alexandria, functional PBE.

The structure belongs to space group Cm (No. 8); the cell edges are 7.9808, 3.0808 and 7.7120 Å and the angles 90.00°, 116.17° and 90.00°. Symmetry generates all atoms from K at (0.0000, 0.0000, 0.0000), Si at (0.0735, 0.5000, 0.6416), Si at (0.3803, 0.5000, 0.3725) and Ru at (0.2274, 0.0000, 0.5089).


Entry 12:
KSiRu3 after structural relaxation. Source: Alexandria, functional PBE.

The structure belongs to space group Pm-3m (No. 221); the cell edges are 4.5743, 4.5743 and 4.5743 Å and the angles 90.00°, 90.00° and 90.00°. Symmetry generates all atoms from K at (0.0000, 0.0000, 0.0000), Si at (0.5000, 0.5000, 0.5000) and Ru at (0.0000, 0.5000, 0.5000).


V values, unit A^3/atom, following the record order: 33.25; 32.25; 29.36; 35.72; 23.53; 24.61; 25.74; 24.93; 17.56; 15.79; 21.27; 19.14.
Uncorrected formation energy values, unit eV per atom, following the record order: -0.0070; -0.0339; 0.0719; -0.0474; 0.4688; 0.6474; 1.4462; 0.9690; 0.5476; -0.0588; -0.0802; 0.9196.